Record 1
# PBE NaInCl2, relaxed
# - VASP energy: -3.2188 eV per atom
# - Formation energy without anion corrections: -5.1 eV per formula unit
# - Spin magnetization: 0.00 μB per formula unit
# - Offset from the most stable computed form: 0 meV/atom
data_NaInCl2
_chemical_formula_sum 'Na3 In3 Cl6'
_cell_length_a 4.2038
_cell_length_b 4.2038
_cell_length_c 21.8758
_cell_angle_alpha 90.00
_cell_angle_beta 90.00
_cell_angle_gamma 120.00
_space_group_name_H-M_alt 'R -3 m'
_space_group_IT_number 166
_space_group_name_Hall '-R 3 2"'
loop_
_atom_site_label
_atom_site_type_symbol
_atom_site_fract_x
_atom_site_fract_y
_atom_site_fract_z
Na1 Na 0.0000 0.0000 0.0000
In1 In 0.0000 0.0000 0.5000
Cl1 Cl 0.0000 0.0000 0.2621

Record 2
# PBE Ac2CdHgPt, relaxed
# - DFT formation energy: -0.692 eV/atom
# - VASP energy: -3.7866 eV per atom
# - Spin magnetization: 0.00 μB per formula unit
data_Ac2CdHgPt
_chemical_formula_sum 'Ac4 Cd2 Hg2 Pt2'
_cell_length_a 8.444
_cell_length_b 4.450
_cell_length_c 8.654
_cell_angle_alpha 90.00
_cell_angle_beta 113.15
_cell_angle_gamma 90.00
_space_group_name_H-M_alt 'P 1 21/m 1'
_space_group_IT_number 11
loop_
_space_group_symop_operation_xyz
'x,y,z'
'-x,-y,-z'
'-x,y+1/2,-z'
'x,-y+1/2,z'
loop_
_atom_site_label
_atom_site_type_symbol
_atom_site_fract_x
_atom_site_fract_y
_atom_site_fract_z
Ac1 Ac 0.013 0.250 0.210
Ac2 Ac 0.351 0.750 0.615
Cd1 Cd 0.355 0.250 0.948
Hg1 Hg 0.316 0.750 0.192
Pt1 Pt 0.100 0.250 0.610

What did the first record say?
# PBE NaInCl2, relaxed
# - VASP energy: -3.2188 eV per atom
# - Formation energy without anion corrections: -5.1 eV per formula unit
# - Spin magnetization: 0.00 μB per formula unit
# - Offset from the most stable computed form: 0 meV/atom
data_NaInCl2
_chemical_formula_sum 'Na3 In3 Cl6'
_cell_length_a 4.2038
_cell_length_b 4.2038
_cell_length_c 21.8758
_cell_angle_alpha 90.00
_cell_angle_beta 90.00
_cell_angle_gamma 120.00
_space_group_name_H-M_alt 'R -3 m'
_space_group_IT_number 166
_space_group_name_Hall '-R 3 2"'
loop_
_atom_site_label
_atom_site_type_symbol
_atom_site_fract_x
_atom_site_fract_y
_atom_site_fract_z
Na1 Na 0.0000 0.0000 0.0000
In1 In 0.0000 0.0000 0.5000
Cl1 Cl 0.0000 0.0000 0.2621